Ba5TbO6, optimized geometry, DFT PBE-GGA; VASP energy = -6.23 eV/atom; formation energy from raw total energies = -2.5633 eV/atom
1.0
3.3485 -5.8119 0.0000
3.3485 5.8119 0.0000
-2.2104 0.0000 6.2830
Ba Tb O
5 1 6
direct
0.0000 0.0000 0.0000
0.1674 0.8326 0.5000
0.3353 0.6647 0.0000
0.6647 0.3353 0.0000
0.8326 0.1674 0.5000
0.5000 0.5000 0.5000
0.1366 0.4257 0.2793
0.2851 0.2851 0.7277
0.4257 0.1366 0.2793
0.5743 0.8634 0.7207
0.7149 0.7149 0.2723
0.8634 0.5743 0.7207

=====

BaTbTcO6, optimized geometry, DFT PBE-GGA; VASP energy = -7.46 eV/atom; formation energy from raw total energies = -2.2743 eV/atom
1.0
5.6280 0.0000 0.0000
-2.8140 4.8740 0.0000
0.0000 0.0000 5.6188
Ba Tb Tc O
1 1 1 6
direct
0.0000 0.0000 0.0000
0.3333 0.6667 0.5000
0.6667 0.3333 0.5000
0.4013 0.0456 0.6959
0.4013 0.3557 0.3041
0.6443 0.0456 0.3041
0.6443 0.5987 0.6959
0.9544 0.3557 0.6959
0.9544 0.5987 0.3041

=====

Ba2TbTcO6, optimized geometry, DFT PBE-GGA; VASP energy = -7.34 eV/atom; formation energy from raw total energies = -2.4794 eV/atom
1.0
3.0290 1.7488 10.1173
-3.0290 1.7488 10.1173
0.0000 -3.4976 10.1173
Ba Tb Tc O
4 2 2 12
direct
0.1353 0.1353 0.1353
0.2803 0.2803 0.2803
0.7197 0.7197 0.7197
0.8647 0.8647 0.8647
0.4057 0.4057 0.4057
0.5943 0.5943 0.5943
0.0000 0.0000 0.0000
0.5000 0.5000 0.5000
0.1502 0.6164 0.6164
0.1903 0.1903 0.7315
0.1903 0.7315 0.1903
0.2685 0.8097 0.8097
0.3836 0.3836 0.8498
0.3836 0.8498 0.3836
0.6164 0.1502 0.6164
0.6164 0.6164 0.1502
0.7315 0.1903 0.1903
0.8097 0.2685 0.8097
0.8097 0.8097 0.2685
0.8498 0.3836 0.3836

=====

Ba2TbTe3O12, optimized geometry, DFT PBE-GGA; VASP energy = -6.08 eV/atom; formation energy from raw total energies = -1.7790 eV/atom
1.0
3.7474 2.1636 5.9127
-3.7474 2.1636 5.9127
0.0000 -4.3271 5.9127
Ba Tb Te O
2 1 3 12
direct
0.1297 0.1297 0.1297
0.8703 0.8703 0.8703
0.5000 0.5000 0.5000
0.0000 0.5000 0.5000
0.5000 0.0000 0.5000
0.5000 0.5000 0.0000
0.1178 0.6058 0.6058
0.1981 0.1981 0.6002
0.1981 0.6002 0.1981
0.3942 0.3942 0.8822
0.3942 0.8822 0.3942
0.3998 0.8019 0.8019
0.6002 0.1981 0.1981
0.6058 0.1178 0.6058
0.6058 0.6058 0.1178
0.8019 0.3998 0.8019
0.8019 0.8019 0.3998
0.8822 0.3942 0.3942

=====

BaTbTeO6, optimized geometry, DFT PBE-GGA; VASP energy = -6.44 eV/atom; formation energy from raw total energies = -2.0611 eV/atom
1.0
5.7480 0.0000 0.0000
-2.8740 4.9779 0.0000
0.0000 0.0000 5.5917
Ba Tb Te O
1 1 1 6
direct
0.0000 0.0000 0.0000
0.3333 0.6667 0.5000
0.6667 0.3333 0.5000
0.3992 0.0429 0.6984
0.3992 0.3564 0.3016
0.6436 0.0429 0.3016
0.6436 0.6008 0.6984
0.9571 0.3564 0.6984
0.9571 0.6008 0.3016

=====

BaTbTe2O8, optimized geometry, DFT PBE-GGA; VASP energy = -6.13 eV/atom; formation energy from raw total energies = -1.7507 eV/atom
1.0
6.0769 0.0000 0.0000
-3.0385 5.2628 0.0000
0.0000 0.0000 7.7288
Ba Tb Te O
1 1 2 8
direct
0.0000 0.0000 0.0000
0.0000 0.0000 0.5000
0.3333 0.6667 0.7632
0.6667 0.3333 0.2368
0.1569 0.3188 0.6973
0.1620 0.8431 0.6973
0.3188 0.1620 0.3027
0.3333 0.6667 0.0015
0.6667 0.3333 0.9985
0.6812 0.8380 0.6973
0.8380 0.1569 0.3027
0.8431 0.6812 0.3027

=====

BaTb3Te4O12, optimized geometry, DFT PBE-GGA; VASP energy = -6.31 eV/atom; formation energy from raw total energies = -1.9134 eV/atom
1.0
5.8579 3.3821 3.0466
-5.8579 3.3821 3.0466
0.0000 -6.7642 3.0466
Ba Tb Te O
1 3 4 12
direct
0.0000 0.0000 0.0000
0.0000 0.5776 0.4224
0.4224 0.0000 0.5776
0.5776 0.4224 0.0000
0.1010 0.5000 0.8990
0.5000 0.5000 0.5000
0.5000 0.8990 0.1010
0.8990 0.1010 0.5000
0.0292 0.2748 0.3624
0.0657 0.9343 0.5000
0.2748 0.3624 0.0292
0.3251 0.6749 0.5000
0.3624 0.0292 0.2748
0.5000 0.0657 0.9343
0.5000 0.3251 0.6749
0.6376 0.7252 0.9708
0.6749 0.5000 0.3251
0.7252 0.9708 0.6376
0.9343 0.5000 0.0657
0.9708 0.6376 0.7252

=====

Ba3TbTi2O8, optimized geometry, DFT PBE-GGA; VASP energy = -7.68 eV/atom; formation energy from raw total energies = -2.9805 eV/atom
1.0
6.0437 0.0000 0.0000
-3.0218 5.2340 0.0000
0.0000 0.0000 7.7192
Ba Tb Ti O
3 1 2 8
direct
0.0000 0.0000 0.0000
0.3333 0.6667 0.6596
0.6667 0.3333 0.3404
0.0000 0.0000 0.5000
0.3333 0.6667 0.2126
0.6667 0.3333 0.7874
0.1704 0.3408 0.3147
0.1704 0.8296 0.3147
0.3333 0.6667 0.9804
0.3408 0.1704 0.6853
0.6592 0.8296 0.3147
0.6667 0.3333 0.0196
0.8296 0.1704 0.6853
0.8296 0.6592 0.6853

=====

Question: Which value of formation energy from raw total energies does entry 7 give?
Answer: -1.9134 eV/atom